The following is a DFT calculation (PBE-GGA) of a geometry-optimized NdMg9Ag2 structure.

The energy relative to the elements comes out at -0.13 eV/atom. As for the crystal system: tetragonal.

The space group is I4_1/amd (No. 141, origin choice 2) and the conventional cell measures 11.9636, 11.9636 and 7.6000 Å, with angles of 90.00, 90.00 and 90.00 degrees. The inequivalent atoms are Nd at (0.0000, 0.2500, 0.3750), Mg at (0.0000, 0.2500, 0.8750), Mg at (0.1217, 0.0505, 0.6818) and Ag at (0.0000, 0.0000, 0.0000).